Entry 1:
The following is a DFT calculation (PBE) of a geometry-optimized CeSmGaIr structure.

```
CeSmGaIr
1.0
0.000 3.575 3.575
3.575 0.000 3.575
3.575 3.575 0.000
Ce Sm Ga Ir
1 1 1 1
direct
0.000 0.000 0.000
0.500 0.500 0.500
0.250 0.250 0.250
0.750 0.750 0.750
```

Output
As for the energy above the lowest structure with this stoichiometry: 0.179 eV per atom. Its density of states at the Fermi level is 1.504 states/eV/atom. The crystal system is cubic. Its formation energy is -0.5262 eV/atom.



Entry 2:
The following is a DFT calculation (PBE) of a geometry-optimized SrCeGa2Ir2 structure.

```
SrCeGa2Ir2
1.0
4.359 0.000 0.000
-2.180 3.775 0.000
0.000 0.000 8.132
Sr Ce Ga Ir
1 1 2 2
direct
0.000 0.000 0.000
0.000 0.000 0.500
0.333 0.667 0.269
0.667 0.333 0.731
0.333 0.667 0.704
0.667 0.333 0.296
```

Output
Its density of states at the Fermi level is 0.723 states/eV/atom. The crystal system is trigonal. Its formation energy is -0.6554 eV/atom.



Entry 3:
The following is a DFT calculation (PBE) of a geometry-optimized Ce2TiGa3Ir4 structure.

```
Ce2TiGa3Ir4
1.0
4.175 0.000 0.000
0.000 4.175 0.000
0.000 0.000 10.770
Ce Ti Ga Ir
2 1 3 4
direct
0.000 0.500 0.235
0.500 0.000 0.765
0.000 0.000 0.500
0.000 0.500 0.873
0.500 0.000 0.127
0.500 0.500 0.500
0.000 0.000 0.000
0.000 0.500 0.640
0.500 0.000 0.360
0.500 0.500 0.000
```

Output
Its density of states at the Fermi level is 1.479 states/eV/atom. The crystal system is tetragonal. Its formation energy is -0.7140 eV/atom.



Entry 4:
The following is a DFT calculation (PBE) of a geometry-optimized CeTiGaIr2 structure.

```
CeTiGaIr2
1.0
-2.011 2.011 5.874
2.011 -2.011 5.874
2.011 2.011 -5.874
Ce Ti Ga Ir
1 1 1 2
direct
0.000 0.000 0.000
0.250 0.750 0.500
0.750 0.250 0.500
0.388 0.388 0.000
0.612 0.612 0.000
```

Output
Its density of states at the Fermi level is 1.555 states/eV/atom. The crystal system is tetragonal. Its formation energy is -0.7553 eV/atom.



Entry 5:
The following is a DFT calculation (PBE) of a geometry-optimized CeTmGaIr structure.

```
CeTmGaIr
1.0
0.000 3.514 3.514
3.514 0.000 3.514
3.514 3.514 0.000
Ce Tm Ga Ir
1 1 1 1
direct
0.000 0.000 0.000
0.500 0.500 0.500
0.750 0.750 0.750
0.250 0.250 0.250
```

Output
Its density of states at the Fermi level is 1.158 states/eV/atom. The crystal system is cubic. Its formation energy is -0.6095 eV/atom.



Entry 6:
The following is a DFT calculation (PBE) of a geometry-optimized Ce2ZnGa2Ir5 structure.

```
Ce2ZnGa2Ir5
1.0
9.659 0.000 0.000
0.000 9.659 0.000
0.000 0.000 3.707
Ce Zn Ga Ir
4 2 4 10
direct
0.176 0.324 0.000
0.324 0.824 0.000
0.676 0.176 0.000
0.824 0.676 0.000
0.000 0.000 0.000
0.500 0.500 0.000
0.124 0.624 0.000
0.376 0.124 0.000
0.624 0.876 0.000
0.876 0.376 0.000
0.000 0.500 0.500
0.069 0.797 0.500
0.203 0.069 0.500
0.297 0.569 0.500
0.431 0.297 0.500
0.500 0.000 0.500
0.569 0.703 0.500
0.703 0.431 0.500
0.797 0.931 0.500
0.931 0.203 0.500
```

Output
Its density of states at the Fermi level is 0.474 states/eV/atom. The crystal system is tetragonal. Its formation energy is -0.5176 eV/atom.



Entry 7:
The following is a DFT calculation (PBE) of a geometry-optimized CeZnGaIr structure.

```
CeZnGaIr
1.0
0.000 3.292 3.292
3.292 0.000 3.292
3.292 3.292 0.000
Ce Zn Ga Ir
1 1 1 1
direct
0.000 0.000 0.000
0.250 0.250 0.250
0.750 0.750 0.750
0.500 0.500 0.500
```

Output
Its density of states at the Fermi level is 0.511 states/eV/atom. The crystal system is cubic. Its formation energy is -0.4474 eV/atom.



Entry 8:
The following is a DFT calculation (PBE) of a geometry-optimized Ce2ZrGa3Ir4 structure.

```
Ce2ZrGa3Ir4
1.0
4.196 0.000 0.000
0.000 4.196 0.000
0.000 0.000 11.049
Ce Zr Ga Ir
2 1 3 4
direct
0.000 0.500 0.226
0.500 0.000 0.774
0.000 0.000 0.500
0.000 0.500 0.877
0.500 0.000 0.123
0.500 0.500 0.500
0.000 0.000 0.000
0.000 0.500 0.650
0.500 0.000 0.350
0.500 0.500 0.000
```

Output
Its density of states at the Fermi level is 1.394 states/eV/atom. The crystal system is tetragonal. Its formation energy is -0.7184 eV/atom.